[1]
Material: TmW
Method: DFT, GGA-PBE
State: optimized geometry

* SG: P-6m2
* VASP energy: -7.9859 eV/atom
* E_form: 732 meV/atom
* ΔE to the lowest computed polymorph: 0.0 meV/atom
* magnetization: 0.01 μB per formula unit

Structure (POSCAR):
```
TmW
1.0
3.026 0.000 0.000
-1.513 2.621 0.000
0.000 0.000 5.152
Tm W
1 1
direct
0.000 0.000 0.000
0.667 0.333 0.500
```

***

[2]
Material: YTm
Method: DFT, GGA-PBE
State: optimized geometry

* SG: F-43m
* VASP energy: -3.4813 eV/atom
* E_form: 1989 meV/atom
* ΔE to the lowest computed polymorph: 1984.8 meV/atom
* magnetization: 0.01 μB per formula unit

Structure (POSCAR):
```
YTm
1.0
0.000 3.423 3.423
3.423 0.000 3.423
3.423 3.423 0.000
Y Tm
1 1
direct
0.000 0.000 0.000
0.250 0.250 0.250
```

***

[3]
Material: Y2Tm5
Method: DFT, GGA-PBE
State: optimized geometry

* SG: C2/c
* VASP energy: -5.0419 eV/atom
* E_form: 2 meV/atom
* magnetization: 0.11 μB per formula unit

Structure (POSCAR):
```
Y2Tm5
1.0
7.733 -3.102 0.000
7.733 3.102 0.000
-0.982 0.000 9.020
Y Tm
4 10
direct
0.096 0.760 0.893
0.240 0.904 0.607
0.760 0.096 0.393
0.904 0.240 0.107
0.046 0.382 0.821
0.190 0.521 0.535
0.335 0.665 0.250
0.382 0.046 0.321
0.479 0.810 0.965
0.521 0.190 0.035
0.618 0.954 0.679
0.665 0.335 0.750
0.810 0.479 0.465
0.954 0.618 0.179
```

***

[4]
Material: YTm2
Method: DFT, GGA-PBE
State: optimized geometry

* SG: Fd-3m
* VASP energy: -4.8946 eV/atom
* E_form: 244 meV/atom
* ΔE to the lowest computed polymorph: 0.0 meV/atom
* magnetization: 0.16 μB per formula unit

Structure (POSCAR):
```
YTm2
1.0
0.000 4.593 4.593
4.593 0.000 4.593
4.593 4.593 0.000
Y Tm
2 4
direct
0.125 0.125 0.125
0.875 0.875 0.875
0.000 0.500 0.500
0.500 0.000 0.500
0.500 0.500 0.000
0.500 0.500 0.500
```

***

[5]
Material: YTm2
Method: DFT, GGA-PBE
State: optimized geometry

* SG: Fd-3m
* VASP energy: -2.6358 eV/atom
* E_form: 2502 meV/atom
* ΔE to the lowest computed polymorph: 2258.8 meV/atom
* magnetization: 5.00 μB per formula unit

Structure (POSCAR):
```
YTm2
1.0
0.000 7.189 7.189
7.189 0.000 7.189
7.189 7.189 0.000
Y Tm
2 4
direct
0.125 0.125 0.125
0.875 0.875 0.875
0.000 0.000 0.000
0.000 0.000 0.500
0.000 0.500 0.000
0.500 0.000 0.000
```

***

[6]
Material: YTm
Method: DFT, GGA-PBE
State: optimized geometry

* SG: P-6m2
* VASP energy: -5.4661 eV/atom
* E_form: 4 meV/atom
* ΔE to the lowest computed polymorph: 0.0 meV/atom
* magnetization: 0.14 μB per formula unit

Structure (POSCAR):
```
YTm
1.0
3.599 0.000 0.000
-1.800 3.117 0.000
0.000 0.000 5.624
Y Tm
1 1
direct
0.000 0.000 0.000
0.333 0.667 0.500
```

***

[7]
Material: YTm
Method: DFT, GGA-PBE
State: optimized geometry

* SG: P6_3/mmc
* VASP energy: -4.9812 eV/atom
* E_form: 489 meV/atom
* ΔE to the lowest computed polymorph: 484.9 meV/atom
* magnetization: 0.34 μB per formula unit

Structure (POSCAR):
```
YTm
1.0
3.983 0.000 0.000
-1.991 3.449 0.000
0.000 0.000 8.607
Y Tm
2 2
direct
0.000 0.000 0.000
0.000 0.000 0.500
0.333 0.667 0.250
0.667 0.333 0.750
```

***

[8]
Material: YTm
Method: DFT, GGA-PBE
State: optimized geometry

* SG: Fm-3m
* VASP energy: -4.6659 eV/atom
* E_form: 804 meV/atom
* ΔE to the lowest computed polymorph: 800.1 meV/atom
* magnetization: 1.24 μB per formula unit

Structure (POSCAR):
```
YTm
1.0
0.000 3.237 3.237
3.237 0.000 3.237
3.237 3.237 0.000
Y Tm
1 1
direct
0.000 0.000 0.000
0.500 0.500 0.500
```

***

What did the second record say?
Material: YTm
Method: DFT, GGA-PBE
State: optimized geometry

* SG: F-43m
* VASP energy: -3.4813 eV/atom
* E_form: 1989 meV/atom
* ΔE to the lowest computed polymorph: 1984.8 meV/atom
* magnetization: 0.01 μB per formula unit

Structure (POSCAR):
```
YTm
1.0
0.000 3.423 3.423
3.423 0.000 3.423
3.423 3.423 0.000
Y Tm
1 1
direct
0.000 0.000 0.000
0.250 0.250 0.250
```